# Nb2ReF | Alexandria via LeMat-Bulk | meta-GGA SCAN | PBEsol geometry
data_Nb2ReF
_cell_length_a 6.241
_cell_length_b 6.241
_cell_length_c 6.241
_cell_angle_alpha 90.00
_cell_angle_beta 90.00
_cell_angle_gamma 90.00
_space_group_name_H-M_alt 'F m -3 m'
_space_group_IT_number 225
_space_group_name_Hall '-F 4 2 3'
loop_
_atom_site_label
_atom_site_fract_x
_atom_site_fract_y
_atom_site_fract_z
Nb1 0.250 0.250 0.250
Re1 0.000 0.000 0.000
F1 0.000 0.000 0.500
# total moment = 0.0 μB/cell
# VASP energy = -141.443 eV/f.u.
# E_form (uncorrected) = -0.136 eV per atom



# Nb3RhF | Alexandria via LeMat-Bulk | meta-GGA SCAN | PBEsol geometry
data_Nb3RhF
_cell_length_a 4.788
_cell_length_b 4.788
_cell_length_c 4.788
_cell_angle_alpha 90.00
_cell_angle_beta 90.00
_cell_angle_gamma 90.00
_space_group_name_H-M_alt 'P m -3 m'
_space_group_IT_number 221
_space_group_name_Hall '-P 4 2 3'
loop_
_atom_site_label
_atom_site_fract_x
_atom_site_fract_y
_atom_site_fract_z
Nb1 0.000 0.000 0.500
Rh1 0.000 0.000 0.000
F1 0.500 0.500 0.500
# total moment = 0.0 μB/cell
# VASP energy = -132.009 eV/f.u.
# E_form (uncorrected) = 0.938 eV per atom



# NbRuF2 | Alexandria via LeMat-Bulk | meta-GGA SCAN | PBEsol geometry
data_NbRuF2
_cell_length_a 2.7117
_cell_length_b 2.7117
_cell_length_c 29.3153
_cell_angle_alpha 90.00
_cell_angle_beta 90.00
_cell_angle_gamma 120.00
_space_group_name_H-M_alt 'R -3 m'
_space_group_IT_number 166
_space_group_name_Hall '-R 3 2"'
loop_
_atom_site_label
_atom_site_fract_x
_atom_site_fract_y
_atom_site_fract_z
Nb1 0.0000 0.0000 0.0000
Ru1 0.0000 0.0000 0.5000
F1 0.0000 0.0000 0.3852
# total moment = 6.5 μB/cell
# VASP energy = -79.419 eV/f.u.
# E_form (uncorrected) = -1.096 eV per atom



# NbSbF10 | Alexandria via LeMat-Bulk | meta-GGA SCAN | PBEsol geometry
data_NbSbF10
_cell_length_a 5.701
_cell_length_b 7.210
_cell_length_c 9.732
_cell_angle_alpha 88.55
_cell_angle_beta 75.03
_cell_angle_gamma 80.11
_space_group_name_H-M_alt 'P -1'
_space_group_IT_number 2
loop_
_space_group_symop_operation_xyz
'x,y,z'
'-x,-y,-z'
loop_
_atom_site_label
_atom_site_fract_x
_atom_site_fract_y
_atom_site_fract_z
Nb1 0.158 0.371 0.222
Sb1 0.462 0.239 0.695
F1 0.024 0.201 0.142
F2 0.070 0.320 0.415
F3 0.151 0.567 0.093
F4 0.207 0.102 0.707
F5 0.220 0.475 0.703
F6 0.283 0.967 0.313
F7 0.300 0.587 0.318
F8 0.399 0.265 0.894
F9 0.470 0.745 0.504
F10 0.487 0.264 0.165
# total moment = 0.3 μB/cell
# VASP energy = -138.430 eV/f.u.
# E_form (uncorrected) = -2.720 eV per atom